This record from Alexandria describes a geometry-optimized ReHg2P structure. The functional is PBE.

a = 2.9382 Å, b = 2.9382 Å, c = 10.9284 Å
α = 90.00°, β = 90.00°, γ = 116.84°
Sites, in units of the cell vectors:
P1 0.0000 0.0000 0.4330
Hg1 0.5000 0.5000 0.7492
Hg2 0.0000 0.0000 0.0405
Re1 0.5000 0.5000 0.2773

Output
energy = -4.25 eV/atom
total moment = 0.0 μB/f.u.
symmetry = Cmm2, No. 35
formation enthalpy at 0 K = 0.362 eV/atom


This record from Alexandria describes a geometry-optimized K12Na6Mg structure. The functional is PBE.

a = 10.2866 Å, b = 10.2866 Å, c = 10.2866 Å
α = 87.77°, β = 87.77°, γ = 87.77°
Sites, in units of the cell vectors:
Na1 0.2446 0.0974 0.7568
Na2 0.7554 0.9026 0.2432
Na3 0.7568 0.2446 0.0974
Na4 0.2432 0.7554 0.9026
Na5 0.9026 0.2432 0.7554
Na6 0.0974 0.7568 0.2446
Mg1 0.0000 0.0000 0.0000
K1 0.3664 0.0253 0.1476
K2 0.9747 0.8524 0.6336
K3 0.0253 0.1476 0.3664
K4 0.1948 0.4641 0.5674
K5 0.4326 0.8052 0.5359
K6 0.8524 0.6336 0.9747
K7 0.5359 0.4326 0.8052
K8 0.8052 0.5359 0.4326
K9 0.4641 0.5674 0.1948
K10 0.6336 0.9747 0.8524
K11 0.1476 0.3664 0.0253
K12 0.5674 0.1948 0.4641

Output
energy = -1.15 eV/atom
total moment = 0.0 μB/f.u.
symmetry = R-3, No. 148
formation enthalpy at 0 K = 0.040 eV/atom